(1)
# GGA-PBE HfTaSe2Br, relaxed
# **E above lowest polymorph**: 0.0 kJ per mole of atoms
# **Raw total energy**: -28.7 eV per cell
# **Fermi-level density of states**: 4.85 states/eV per cell
data_HfTaSe2Br
_cell_length_a 5.035
_cell_length_b 5.035
_cell_length_c 5.000
_cell_angle_alpha 90.00
_cell_angle_beta 90.00
_cell_angle_gamma 90.00
_space_group_name_H-M_alt 'P 4/m m m'
_space_group_IT_number 123
_space_group_name_Hall '-P 4 2'
loop_
_atom_site_label
_atom_site_fract_x
_atom_site_fract_y
_atom_site_fract_z
_atom_site_occupancy
Hf1 0.000 0.000 0.000 1
Ta1 0.500 0.500 0.500 1
Se1 0.000 0.500 0.500 1
Br1 0.500 0.500 0.000 1

=====

(2)
# GGA-PBE ZnPt2Cl, relaxed
# **E above lowest polymorph**: 37.4 kJ per mole of atoms
# **Raw total energy**: -14.0 eV per cell
# **Fermi-level density of states**: 3.13 states/eV per cell
data_ZnPt2Cl
_cell_length_a 4.004
_cell_length_b 4.004
_cell_length_c 4.040
_cell_angle_alpha 90.00
_cell_angle_beta 90.00
_cell_angle_gamma 90.00
_space_group_name_H-M_alt 'P 4/m m m'
_space_group_IT_number 123
_space_group_name_Hall '-P 4 2'
loop_
_atom_site_label
_atom_site_fract_x
_atom_site_fract_y
_atom_site_fract_z
_atom_site_occupancy
Zn1 0.000 0.000 0.000 1
Pt1 0.000 0.500 0.500 1
Cl1 0.500 0.500 0.000 1

=====

(3)
# GGA-PBE Li2PuCu9, relaxed
# **Raw total energy**: -166.4 eV per cell
# **Fermi-level density of states**: 47.43 states/eV per cell
# **ΔH_f (0 K)**: -37 meV per atom
data_Li2PuCu9
_cell_length_a 4.9890
_cell_length_b 4.9890
_cell_length_c 24.3104
_cell_angle_alpha 90.00
_cell_angle_beta 90.00
_cell_angle_gamma 120.00
_space_group_name_H-M_alt 'R -3 m'
_space_group_IT_number 166
_space_group_name_Hall '-R 3 2"'
loop_
_atom_site_label
_atom_site_fract_x
_atom_site_fract_y
_atom_site_fract_z
_atom_site_occupancy
Li1 0.0000 0.0000 0.1485 1
Pu1 0.0000 0.0000 0.0000 1
Cu1 0.0000 0.0000 0.3328 1
Cu2 0.0000 0.0000 0.5000 1
Cu3 0.0016 0.5008 0.9150 1

=====

(4)
# GGA-PBE TbZnRu, relaxed
# **Raw total energy**: -64.6 eV per cell
# **Fermi-level density of states**: 6.51 states/eV per cell
# **ΔH_f (0 K)**: -320 meV per atom
data_TbZnRu
_cell_length_a 6.968
_cell_length_b 4.054
_cell_length_c 8.071
_cell_angle_alpha 90.00
_cell_angle_beta 90.00
_cell_angle_gamma 90.00
_space_group_name_H-M_alt 'P n m a'
_space_group_IT_number 62
loop_
_space_group_symop_operation_xyz
'x,y,z'
'-x,-y,-z'
'-x+1/2,-y,z+1/2'
'x+1/2,y,-z+1/2'
'x+1/2,-y+1/2,-z+1/2'
'-x+1/2,y+1/2,z+1/2'
'-x,y+1/2,-z'
'x,-y+1/2,z'
loop_
_atom_site_label
_atom_site_fract_x
_atom_site_fract_y
_atom_site_fract_z
_atom_site_occupancy
Tb1 0.028 0.250 0.182 1
Zn1 0.145 0.250 0.563 1
Ru1 0.233 0.750 0.373 1

=====

(5)
# GGA-PBE HfMn3Al, relaxed
# **E above lowest polymorph**: 0.0 kJ per mole of atoms
# **Raw total energy**: -37.5 eV per cell
# **Fermi-level density of states**: 1.99 states/eV per cell
# **ΔH_f (0 K)**: 745 meV per atom
data_HfMn3Al
_cell_length_a 4.355
_cell_length_b 4.355
_cell_length_c 4.355
_cell_angle_alpha 90.00
_cell_angle_beta 90.00
_cell_angle_gamma 90.00
_space_group_name_H-M_alt 'P m -3 m'
_space_group_IT_number 221
_space_group_name_Hall '-P 4 2 3'
loop_
_atom_site_label
_atom_site_fract_x
_atom_site_fract_y
_atom_site_fract_z
_atom_site_occupancy
Hf1 0.000 0.000 0.000 1
Mn1 0.000 0.500 0.500 1
Al1 0.500 0.500 0.500 1

=====

(6)
# GGA-PBE Dy3Al6Ag20, relaxed
# **Raw total energy**: -380.9 eV per cell
# **Fermi-level density of states**: 51.26 states/eV per cell
# **ΔH_f (0 K)**: -67 meV per atom
data_Dy3Al6Ag20
_cell_length_a 13.073
_cell_length_b 13.073
_cell_length_c 13.073
_cell_angle_alpha 90.00
_cell_angle_beta 90.00
_cell_angle_gamma 90.00
_space_group_name_H-M_alt 'F m -3 m'
_space_group_IT_number 225
_space_group_name_Hall '-F 4 2 3'
loop_
_atom_site_label
_atom_site_fract_x
_atom_site_fract_y
_atom_site_fract_z
_atom_site_occupancy
Dy1 0.000 0.000 0.000 1
Dy2 0.250 0.250 0.250 1
Al1 0.000 0.000 0.264 1
Ag1 0.000 0.175 0.175 1
Ag2 0.117 0.117 0.383 1

=====

Which of these has the highest raw total energy? ZnPt2Cl

=====

Repeat the fifth record exactly.
# GGA-PBE HfMn3Al, relaxed
# **E above lowest polymorph**: 0.0 kJ per mole of atoms
# **Raw total energy**: -37.5 eV per cell
# **Fermi-level density of states**: 1.99 states/eV per cell
# **ΔH_f (0 K)**: 745 meV per atom
data_HfMn3Al
_cell_length_a 4.355
_cell_length_b 4.355
_cell_length_c 4.355
_cell_angle_alpha 90.00
_cell_angle_beta 90.00
_cell_angle_gamma 90.00
_space_group_name_H-M_alt 'P m -3 m'
_space_group_IT_number 221
_space_group_name_Hall '-P 4 2 3'
loop_
_atom_site_label
_atom_site_fract_x
_atom_site_fract_y
_atom_site_fract_z
_atom_site_occupancy
Hf1 0.000 0.000 0.000 1
Mn1 0.000 0.500 0.500 1
Al1 0.500 0.500 0.500 1

=====

Copy entry 2 word for word.
# GGA-PBE ZnPt2Cl, relaxed
# **E above lowest polymorph**: 37.4 kJ per mole of atoms
# **Raw total energy**: -14.0 eV per cell
# **Fermi-level density of states**: 3.13 states/eV per cell
data_ZnPt2Cl
_cell_length_a 4.004
_cell_length_b 4.004
_cell_length_c 4.040
_cell_angle_alpha 90.00
_cell_angle_beta 90.00
_cell_angle_gamma 90.00
_space_group_name_H-M_alt 'P 4/m m m'
_space_group_IT_number 123
_space_group_name_Hall '-P 4 2'
loop_
_atom_site_label
_atom_site_fract_x
_atom_site_fract_y
_atom_site_fract_z
_atom_site_occupancy
Zn1 0.000 0.000 0.000 1
Pt1 0.000 0.500 0.500 1
Cl1 0.500 0.500 0.000 1